The following is a PBE calculation of an optimized crystal structure of Li3OsC, from Alexandria.

```
5
Lattice="4.643 0.000 0.000 0.000 4.643 0.000 0.000 0.000 4.643" Properties=species:S:1:pos:R:3 pbc="T T T"
Li 0.000 0.000 2.321
Li 0.000 2.321 0.000
Li 2.321 0.000 0.000
Os 0.000 0.000 0.000
C 2.321 2.321 2.321
```

Results
- Magnetization: 0.0 μB/f.u.
- Energy of formation: 2.301 eV/atom
- Space group: Pm-3m
- V: 20.0 Å³/atom
- ΔE to the lowest computed polymorph: 1.052 eV per atom